Compound: Rb2CuAgHg
Source: Alexandria via LeMat-Bulk
Functional: GGA-PBE
Structure: optimized geometry

Cell lengths 6.4467, 6.4467, 5.0835 Å; angles 90.00, 90.00, 90.00 degrees
Space group P4/mmm (No. 123)
Unique sites:
Rb (0.0000, 0.5000, 0.0000) (multiplicity 2)
Cu (0.0000, 0.0000, 0.0000) (multiplicity 1)
Ag (0.5000, 0.5000, 0.5000) (multiplicity 1)
Hg (0.0000, 0.0000, 0.5000) (multiplicity 1)

Results
Energy relative to the elements, eV per atom: 0.19

=====

Compound: RbCuAgHg2
Source: Alexandria via LeMat-Bulk
Functional: GGA-PBE
Structure: optimized geometry

Cell lengths 5.2335, 5.2335, 5.2439 Å; angles 90.00, 90.00, 90.00 degrees
Space group P4/mmm (No. 123)
Unique sites:
Rb (0.0000, 0.0000, 0.0000) (multiplicity 1)
Cu (0.5000, 0.5000, 0.5000) (multiplicity 1)
Ag (0.5000, 0.5000, 0.0000) (multiplicity 1)
Hg (0.0000, 0.5000, 0.5000) (multiplicity 2)

Results
Energy relative to the elements, eV per atom: 0.01

=====

Compound: CuReAg2Hg
Source: Alexandria via LeMat-Bulk
Functional: GGA-PBE
Structure: optimized geometry

Cell lengths 5.1426, 5.1426, 4.7885 Å; angles 90.00, 90.00, 90.00 degrees
Space group P4/mmm (No. 123)
Unique sites:
Cu (0.0000, 0.0000, 0.0000) (multiplicity 1)
Re (0.5000, 0.5000, 0.0000) (multiplicity 1)
Ag (0.0000, 0.5000, 0.5000) (multiplicity 2)
Hg (0.0000, 0.0000, 0.5000) (multiplicity 1)

Results
Energy relative to the elements, eV per atom: 1.78

=====

Compound: CuAgHgRh
Source: Alexandria via LeMat-Bulk
Functional: GGA-PBE
Structure: optimized geometry

Cell lengths 6.4010, 6.4010, 6.4010 Å; angles 90.00, 90.00, 90.00 degrees
Space group F-43m (No. 216)
Unique sites:
Cu (0.0000, 0.0000, 0.0000) (multiplicity 4)
Ag (0.2500, 0.2500, 0.2500) (multiplicity 4)
Hg (0.0000, 0.0000, 0.5000) (multiplicity 4)
Rh (0.2500, 0.2500, 0.7500) (multiplicity 4)

Results
Energy relative to the elements, eV per atom: 0.16

=====

Compound: CuAgHgS2
Source: Alexandria via LeMat-Bulk
Functional: GGA-PBE
Structure: optimized geometry

Cell lengths 5.0530, 5.0530, 4.8439 Å; angles 90.00, 90.00, 90.00 degrees
Space group P4/mmm (No. 123)
Unique sites:
Cu (0.0000, 0.0000, 0.0000) (multiplicity 1)
Ag (0.5000, 0.5000, 0.0000) (multiplicity 1)
Hg (0.0000, 0.0000, 0.5000) (multiplicity 1)
S (0.0000, 0.5000, 0.5000) (multiplicity 2)

Results
Formation energy (no corrections), eV/atom: 0.859

=====

Compound: CuAgHgS2
Source: Alexandria via LeMat-Bulk
Functional: GGA-PBE
Structure: optimized geometry

Cell lengths 6.3700, 6.2430, 5.7079 Å; angles 90.00, 94.13, 90.00 degrees
Space group P2/c (No. 13)
Unique sites:
Cu (0.0000, 0.0000, 0.0000) (multiplicity 2)
Ag (0.0000, 0.3977, 0.2500) (multiplicity 2)
Hg (0.5000, 0.2350, 0.2500) (multiplicity 2)
S (0.2329, 0.2464, 0.9319) (multiplicity 4)

Results
Formation energy (no corrections), eV/atom: -0.096